The following is a GGA-PBE calculation of a geometry-optimized MgSe2BrN structure, from the Alexandria database.

Summary:
Formation energy without anion corrections: 0.801 eV per atom
E above lowest polymorph: 0.251 eV per atom
M_tot: 1.26 μB/cell
Space-group type: No. 123

a = 5.266 Å, b = 5.266 Å, c = 4.053 Å
α = 90.00°, β = 90.00°, γ = 90.00°
Fractional positions:
Mg 0.000 0.000 0.000
Se 0.000 0.500 0.000
Se 0.500 0.000 0.000
Br 0.500 0.500 0.500
N 0.000 0.000 0.500